#1
The following is a DFT calculation (PBE) of Na2AgRh2 after structural relaxation.

Cell lengths 8.4386, 8.4386, 2.7173 Å; angles 90.00, 90.00, 90.00 degrees
Space group P4/mbm (No. 127)
Unique sites:
1 Na 0.1890 0.3110 0.0000
2 Ag 0.0000 0.0000 0.5000
3 Rh 0.1027 0.6027 0.5000

Calculated values
The value obtained for the density of states at the Fermi level is 5.10 states/eV/f.u.

#2
The following is a DFT calculation (PBE) of Na2AgRh2 after structural relaxation.

Cell lengths 3.6961, 3.6961, 14.0030 Å; angles 90.00, 90.00, 90.00 degrees
Space group I4/mmm (No. 139)
Unique sites:
1 Na 0.0000 0.5000 0.2500
2 Ag 0.0000 0.0000 0.0000
3 Rh 0.0000 0.0000 0.4118

Calculated values
The value obtained for the density of states at the Fermi level is 8.71 states/eV/f.u.

#1 comes first in stability; the runner-up is 243 meV per atom higher.

#1
The following is a DFT calculation (PBE) of NaAgRu after structural relaxation.

Cell lengths 12.6016, 2.8376, 6.1863 Å; angles 90.00, 107.72, 90.00 degrees
Space group C2/m (No. 12)
Unique sites:
1 Na 0.1643 0.0000 0.3418
2 Ag 0.0000 0.5000 0.0000
3 Ag 0.0000 0.5000 0.5000
4 Ru 0.1734 0.0000 0.8795

Calculated values
The value obtained for the density of states at the Fermi level is 2.72 states/eV/f.u.

#2
The following is a DFT calculation (PBE) of NaAgRu after structural relaxation.

Cell lengths 2.8267, 5.2798, 7.2147 Å; angles 82.14, 89.89, 89.95 degrees
Space group P1 (No. 1)
Unique sites:
1 Na 0.0000 0.0000 0.0000
2 Na 0.0041 0.2107 0.3318
3 Ag 0.4999 0.5294 0.9877
4 Ag 0.5014 0.2376 0.6702
5 Ru 0.0014 0.7341 0.6373
6 Ru 0.5028 0.6992 0.3616

Calculated values
The value obtained for the density of states at the Fermi level is 2.59 states/eV/f.u.

#3
The following is a DFT calculation (PBE) of NaAgRu after structural relaxation.

Cell lengths 11.5031, 2.7657, 6.9569 Å; angles 90.00, 108.38, 90.00 degrees
Space group Cm (No. 8)
Unique sites:
1 Na 0.0000 0.0000 0.0000
2 Na 0.1488 0.5000 0.3471
3 Ag 0.0428 0.0000 0.6252
4 Ag 0.3208 0.0000 0.6694
5 Ru 0.2419 0.5000 0.9693
6 Ru 0.3628 0.0000 0.2718

Calculated values
The value obtained for the density of states at the Fermi level is 2.51 states/eV/f.u.

#4
The following is a DFT calculation (PBE) of NaAgRu after structural relaxation.

Cell lengths 5.8464, 8.2471, 4.4309 Å; angles 90.00, 90.00, 90.00 degrees
Space group Ima2 (No. 46)
Unique sites:
1 Na 0.2500 0.1568 0.0000
2 Ag 0.0000 0.0000 0.5011
3 Ru 0.2500 0.6940 0.5062

Calculated values
The value obtained for the density of states at the Fermi level is 2.30 states/eV/f.u.

#1 comes first in stability; the runner-up is 7 meV per atom higher.

#1
The following is a DFT calculation (PBE) of Na2Ag2Ru after structural relaxation.

Cell lengths 3.7224, 3.7224, 17.1547 Å; angles 90.00, 90.00, 90.00 degrees
Space group I4/mmm (No. 139)
Unique sites:
1 Na 0.0000 0.0000 0.0999
2 Ag 0.0000 0.5000 0.2500
3 Ru 0.0000 0.0000 0.5000

Calculated values
The value obtained for the density of states at the Fermi level is 4.86 states/eV/f.u.

#2
The following is a DFT calculation (PBE) of Na2Ag2Ru after structural relaxation.

Cell lengths 8.2550, 8.2550, 2.7509 Å; angles 90.00, 90.00, 90.00 degrees
Space group P4/mbm (No. 127)
Unique sites:
1 Na 0.1262 0.3738 0.0000
2 Ag 0.1767 0.6767 0.5000
3 Ru 0.0000 0.0000 0.0000

Calculated values
The value obtained for the density of states at the Fermi level is 3.72 states/eV/f.u.

#2 comes first in stability; the runner-up is 156 meV per atom higher.

#1
The following is a DFT calculation (PBE) of NaAg2Ru after structural relaxation.

Cell lengths 4.0367, 4.0367, 19.2962 Å; angles 90.00, 90.00, 90.00 degrees
Space group I-42d (No. 122)
Unique sites:
1 Na 0.0000 0.0000 0.0000
2 Ag 0.2424 0.2500 0.6250
3 Ru 0.0000 0.0000 0.5000

Calculated values
The value obtained for the density of states at the Fermi level is 3.71 states/eV/f.u.

#2
The following is a DFT calculation (PBE) of NaAg2Ru after structural relaxation.

Cell lengths 6.5979, 6.5979, 6.5979 Å; angles 90.00, 90.00, 90.00 degrees
Space group Fm-3m (No. 225)
Unique sites:
1 Na 0.0000 0.0000 0.0000
2 Ag 0.2500 0.2500 0.2500
3 Ru 0.0000 0.0000 0.5000

Calculated values
The value obtained for the density of states at the Fermi level is 8.14 states/eV/f.u.

#2 comes first in stability; the runner-up is 316 meV per atom higher.

#1
The following is a DFT calculation (PBE) of Na2TcAgRu after structural relaxation.

Cell lengths 4.8993, 4.8993, 5.2277 Å; angles 90.00, 90.00, 90.00 degrees
Space group P4/mmm (No. 123)
Unique sites:
1 Na 0.0000 0.5000 0.0000
2 Tc 0.0000 0.0000 0.5000
3 Ag 0.0000 0.0000 0.0000
4 Ru 0.5000 0.5000 0.5000

Calculated values
The value obtained for the density of states at the Fermi level is 5.97 states/eV/f.u.

#2
The following is a DFT calculation (PBE) of Na2TcAgRu after structural relaxation.

Cell lengths 4.9307, 4.9307, 5.1387 Å; angles 90.00, 90.00, 90.00 degrees
Space group P4/mmm (No. 123)
Unique sites:
1 Na 0.0000 0.5000 0.0000
2 Tc 0.0000 0.0000 0.5000
3 Ag 0.5000 0.5000 0.0000
4 Ru 0.5000 0.5000 0.5000

Calculated values
The value obtained for the density of states at the Fermi level is 4.20 states/eV/f.u.

#2 comes first in stability; the runner-up is 56 meV per atom higher.

#1
The following is a DFT calculation (PBE) of NaAg4S2 after structural relaxation.

Cell lengths 4.5199, 4.5199, 22.9675 Å; angles 90.00, 90.00, 120.00 degrees
Space group R-3m (No. 166, hexagonal axes)
Unique sites:
1 Na 0.0000 0.0000 0.0000
2 Ag 0.0000 0.0000 0.1510
3 Ag 0.0000 0.0000 0.4304
4 S 0.0000 0.0000 0.2682

Calculated values
The value obtained for the density of states at the Fermi level is 3.62 states/eV/f.u.

#2
The following is a DFT calculation (PBE) of NaAg4S2 after structural relaxation.

Cell lengths 8.3139, 8.3139, 3.9893 Å; angles 90.00, 90.00, 90.00 degrees
Space group P4_2/mnm (No. 136)
Unique sites:
1 Na 0.0000 0.0000 0.0000
2 Ag 0.0972 0.3476 0.5000
3 S 0.1845 0.8155 0.5000

Calculated values
The value obtained for the density of states at the Fermi level is 1.29 states/eV/f.u.

#2 comes first in stability; the runner-up is 75 meV per atom higher.

#1
The following is a DFT calculation (PBE) of NaAg2S2 after structural relaxation.

Cell lengths 4.9725, 4.9725, 8.8545 Å; angles 90.00, 90.00, 90.00 degrees
Space group I4/mmm (No. 139)
Unique sites:
1 Na 0.0000 0.0000 0.0000
2 Ag 0.0000 0.0000 0.3268
3 S 0.0000 0.5000 0.2500

Calculated values
The value obtained for the density of states at the Fermi level is 1.48 states/eV/f.u.

#2
The following is a DFT calculation (PBE) of NaAg2S2 after structural relaxation.

Cell lengths 4.1555, 4.1555, 12.2114 Å; angles 90.00, 90.00, 90.00 degrees
Space group I4/mmm (No. 139)
Unique sites:
1 Na 0.0000 0.0000 0.0000
2 Ag 0.0000 0.5000 0.2500
3 S 0.0000 0.0000 0.3815

Calculated values
The value obtained for the density of states at the Fermi level is 3.74 states/eV/f.u.

#2 comes first in stability; the runner-up is 35 meV per atom higher.

#1
The following is a DFT calculation (PBE) of NaAgS3 after structural relaxation.

Cell lengths 5.0457, 5.0457, 5.0457 Å; angles 90.00, 90.00, 90.00 degrees
Space group Pm-3m (No. 221)
Unique sites:
1 Na 0.0000 0.0000 0.0000
2 Ag 0.5000 0.5000 0.5000
3 S 0.0000 0.0000 0.5000

Calculated values
The value obtained for the density of states at the Fermi level is 2.88 states/eV/f.u.

#2
The following is a DFT calculation (PBE) of NaAgS3 after structural relaxation.

Cell lengths 9.7104, 5.4142, 9.7786 Å; angles 90.00, 107.55, 90.00 degrees
Space group P2_1/c (No. 14)
Unique sites:
1 Na 0.1376 0.1688 0.4059
2 Ag 0.3709 0.7406 0.2210
3 S 0.1402 0.6707 0.5173
4 S 0.1475 0.6621 0.3095
5 S 0.4476 0.0806 0.5663

Calculated values
The value obtained for the density of states at the Fermi level is 1.99 states/eV/f.u.

#3
The following is a DFT calculation (PBE) of NaAgS3 after structural relaxation.

Cell lengths 4.8996, 4.8996, 4.8996 Å; angles 90.00, 90.00, 90.00 degrees
Space group Pm-3m (No. 221)
Unique sites:
1 Na 0.0000 0.0000 0.0000
2 Ag 0.5000 0.5000 0.5000
3 S 0.0000 0.5000 0.5000

Calculated values
The value obtained for the density of states at the Fermi level is 7.18 states/eV/f.u.

#2 comes first in stability; the runner-up is 556 meV per atom higher.